1.
Mn2P2Ru: relaxed, PBE.

ΔE_f in eV/atom: -0.3276
Space group: No. 127
Magnetization in Bohr magnetons per cell: 10.36
N(E_F) in states/eV per cell: 6.51

Structure (POSCAR):
```
Mn2P2Ru
1.0
-1.8972 -0.4643 6.0016
3.7574 -5.0075 0.8004
2.3226 1.8834 0.8799
Ru Mn P
2 4 4
Direct
0.0000 0.0000 0.0000 Ru
0.5000 0.5000 0.0000 Ru
0.1445 0.6445 0.5000 Mn
0.6445 0.8555 0.5000 Mn
0.8555 0.3555 0.5000 Mn
0.3555 0.1445 0.5000 Mn
0.3523 0.8523 0.0000 P
0.8523 0.6477 0.0000 P
0.6477 0.1477 0.0000 P
0.1477 0.3523 0.0000 P
```

2.
PmPr2Ni2Ge2: relaxed, PBE.

ΔE_f in eV/atom: -0.5957
Space group: No. 166
Magnetization in Bohr magnetons per cell: 0.80
N(E_F) in states/eV per cell: 4.34

Structure (POSCAR):
```
PmPr2Ni2Ge2
1.0
4.2250 0.0000 0.0000
2.1125 3.6589 0.0000
2.1125 1.2196 10.9660
Pm Pr Ni Ge
1 2 2 2
Direct
0.0000 0.0000 0.0000 Pm
0.1143 0.1143 0.6570 Pr
0.8857 0.8857 0.3430 Pr
0.6088 0.6088 0.1736 Ni
0.3912 0.3912 0.8264 Ni
0.7272 0.7272 0.8185 Ge
0.2728 0.2728 0.1815 Ge
```

3.
Sm7AsBr12: relaxed, PBE.

Space group: No. 148
Magnetization in Bohr magnetons per cell: 0.00
Formation energy (no corrections) in eV per formula unit: -33.936
N(E_F) in states/eV per cell: 3.89

Structure (POSCAR):
```
Sm7AsBr12
1.0
-8.6335 -3.1218 1.8200
1.6451 -1.2113 -9.1336
6.0578 -5.3167 4.7572
Sm As Br
7 1 12
Direct
0.9661 0.6764 0.8908 Sm
0.3236 0.1092 0.0339 Sm
0.1092 0.0339 0.3236 Sm
0.5000 0.5000 0.5000 Sm
0.8908 0.9661 0.6764 Sm
0.6764 0.8908 0.9661 Sm
0.0339 0.3236 0.1092 Sm
0.0000 0.0000 0.0000 As
0.9227 0.3116 0.7733 Br
0.6884 0.2267 0.0773 Br
0.4699 0.1595 0.3890 Br
0.8405 0.6110 0.5301 Br
0.2267 0.0773 0.6884 Br
0.6110 0.5301 0.8405 Br
0.3890 0.4699 0.1595 Br
0.7733 0.9227 0.3116 Br
0.1595 0.3890 0.4699 Br
0.5301 0.8405 0.6110 Br
0.3116 0.7733 0.9227 Br
0.0773 0.6884 0.2267 Br
```

no.,E (eV/atom)
1,-8.015
2,-5.611
3,-4.585